Below is crystalline CdIr17 at its relaxed geometry, with properties calculated at the PBE-GGA level.

Cell and atoms, written as POSCAR:
```
CdIr17
1.0
4.709 0.000 0.000
0.000 5.447 0.000
-0.017 0.000 33.337
Cd Ir
2 34
Cartesian
0.781 1.362 9.771 Cd
3.911 4.085 23.567 Cd
0.000 0.000 0.000 Ir
0.000 2.723 0.000 Ir
0.001 0.017 6.710 Ir
0.001 2.706 6.710 Ir
0.782 4.085 2.232 Ir
0.765 4.085 28.849 Ir
0.785 1.362 2.254 Ir
0.787 4.085 8.893 Ir
0.780 1.362 28.859 Ir
1.566 0.000 4.491 Ir
1.557 0.001 24.439 Ir
1.553 0.003 31.090 Ir
1.553 2.721 31.090 Ir
1.566 2.723 4.491 Ir
1.557 2.723 24.439 Ir
2.341 1.362 6.739 Ir
2.347 4.085 6.729 Ir
2.354 1.362 0.004 Ir
2.338 4.085 33.333 Ir
2.345 1.362 26.608 Ir
2.351 4.085 26.598 Ir
3.135 5.446 8.898 Ir
3.126 0.000 28.847 Ir
3.135 2.724 8.898 Ir
3.126 2.723 28.847 Ir
3.139 2.726 2.247 Ir
3.139 5.444 2.247 Ir
3.912 4.085 4.478 Ir
3.905 1.362 24.444 Ir
3.907 4.085 31.083 Ir
3.926 1.362 4.488 Ir
3.910 1.362 31.105 Ir
4.691 2.741 26.627 Ir
4.691 5.430 26.627 Ir
```

Summary:
Polymorph energy (0 for the lowest one) in eV/f.u.: 0.00
ρ in g/cm³: 13.1
Crystal system: monoclinic

***

Below is crystalline CdIr15 at its relaxed geometry, with properties calculated at the PBE-GGA level.

Cell and atoms, written as POSCAR:
```
CdIr15
1.0
3.862 0.000 0.000
0.000 3.862 0.000
0.000 0.000 44.421
Cd Ir
2 30
Cartesian
0.966 0.000 7.064 Cd
2.897 0.000 37.357 Cd
0.966 0.000 11.525 Ir
0.966 0.000 15.431 Ir
0.966 0.000 19.297 Ir
0.966 0.000 23.182 Ir
0.966 0.000 27.057 Ir
0.966 0.000 30.940 Ir
0.966 0.000 34.797 Ir
0.966 1.931 9.624 Ir
0.966 1.931 13.481 Ir
0.966 1.931 17.363 Ir
0.966 1.931 21.243 Ir
0.966 1.931 25.116 Ir
0.966 1.931 29.001 Ir
0.966 1.931 32.869 Ir
0.966 1.931 36.611 Ir
2.897 0.000 9.623 Ir
2.897 0.000 13.481 Ir
2.897 0.000 17.364 Ir
2.897 0.000 21.239 Ir
2.897 0.000 25.124 Ir
2.897 0.000 28.990 Ir
2.897 0.000 32.896 Ir
2.897 1.931 7.809 Ir
2.897 1.931 11.552 Ir
2.897 1.931 15.420 Ir
2.897 1.931 19.305 Ir
2.897 1.931 23.178 Ir
2.897 1.931 27.058 Ir
2.897 1.931 30.940 Ir
2.897 1.931 34.797 Ir
```

Summary:
Polymorph energy (0 for the lowest one) in eV/f.u.: 0.00
ρ in g/cm³: 15.0
Crystal system: orthorhombic

***

Below is crystalline CdIr17 at its relaxed geometry, with properties calculated at the PBE-GGA level.

Cell and atoms, written as POSCAR:
```
CdIr17
1.0
5.450 0.000 0.000
-2.725 4.719 0.000
0.000 0.000 33.296
Cd Ir
2 34
Cartesian
0.000 3.146 9.754 Cd
2.725 1.573 23.542 Cd
0.000 0.000 0.000 Ir
0.000 0.000 6.743 Ir
0.000 0.000 26.553 Ir
-1.362 2.360 0.000 Ir
-1.352 2.366 6.713 Ir
0.000 1.574 4.483 Ir
0.000 1.573 24.409 Ir
0.000 1.576 31.052 Ir
-1.362 3.932 4.483 Ir
-1.363 3.933 24.409 Ir
-1.360 3.932 31.052 Ir
1.362 0.786 8.887 Ir
1.363 0.787 28.813 Ir
0.000 3.146 2.235 Ir
0.000 3.146 28.821 Ir
1.365 0.788 2.244 Ir
1.352 2.366 6.713 Ir
0.000 4.707 6.713 Ir
2.725 0.000 0.000 Ir
1.362 2.360 0.000 Ir
2.725 0.012 26.583 Ir
1.373 2.354 26.583 Ir
1.360 3.932 31.052 Ir
2.725 1.573 4.475 Ir
2.725 1.573 31.061 Ir
1.362 3.932 4.483 Ir
1.363 3.933 24.409 Ir
4.085 0.788 2.244 Ir
4.088 0.786 8.887 Ir
4.086 0.787 28.813 Ir
2.725 3.144 2.244 Ir
2.725 3.147 8.887 Ir
2.725 3.146 28.813 Ir
4.077 2.354 26.583 Ir
```

Summary:
Polymorph energy (0 for the lowest one) in eV/f.u.: 0.27
ρ in g/cm³: 13.1
Crystal system: trigonal

***

Below is crystalline CdIr15 at its relaxed geometry, with properties calculated at the PBE-GGA level.

Cell and atoms, written as POSCAR:
```
CdIr15
1.0
4.727 0.000 0.000
0.000 35.795 0.000
-1.573 0.000 4.457
Cd Ir
2 30
Cartesian
-0.393 7.233 1.114 Cd
-1.179 28.562 3.343 Cd
-1.179 8.993 3.343 Ir
-0.393 10.369 1.114 Ir
-1.179 11.735 3.343 Ir
-0.393 13.116 1.114 Ir
-1.179 14.466 3.343 Ir
-0.393 15.833 1.114 Ir
-1.179 17.212 3.343 Ir
-0.393 18.584 1.114 Ir
-1.179 19.962 3.343 Ir
-0.393 21.329 1.114 Ir
-1.179 22.680 3.343 Ir
-0.393 24.060 1.114 Ir
-1.179 25.426 3.343 Ir
-0.393 26.802 1.114 Ir
1.184 7.751 3.343 Ir
1.970 8.995 1.114 Ir
1.184 10.369 3.343 Ir
1.970 11.738 1.114 Ir
1.184 13.080 3.343 Ir
1.970 14.471 1.114 Ir
1.184 15.841 3.343 Ir
1.970 17.206 1.114 Ir
1.184 18.589 3.343 Ir
1.970 19.954 1.114 Ir
1.184 21.324 3.343 Ir
1.970 22.716 1.114 Ir
1.184 24.057 3.343 Ir
1.970 25.426 1.114 Ir
1.184 26.800 3.343 Ir
1.970 28.045 1.114 Ir
```

Summary:
Polymorph energy (0 for the lowest one) in eV/f.u.: 0.81
ρ in g/cm³: 13.2
Crystal system: monoclinic

***

Below is crystalline CdIr7 at its relaxed geometry, with properties calculated at the PBE-GGA level.

Cell and atoms, written as POSCAR:
```
CdIr7
1.0
2.751 0.000 0.000
0.000 2.751 0.000
0.000 0.000 43.756
Cd Ir
2 14
Cartesian
0.688 0.688 7.174 Cd
2.064 2.064 36.582 Cd
0.688 0.688 11.267 Ir
0.688 0.688 15.141 Ir
0.688 0.688 18.985 Ir
0.688 0.688 22.843 Ir
0.688 0.688 26.693 Ir
0.688 0.688 30.551 Ir
0.688 0.688 34.351 Ir
2.064 2.064 9.405 Ir
2.064 2.064 13.204 Ir
2.064 2.064 17.063 Ir
2.064 2.064 20.913 Ir
2.064 2.064 24.771 Ir
2.064 2.064 28.615 Ir
2.064 2.064 32.489 Ir
```

Summary:
ρ in g/cm³: 14.6
Crystal system: tetragonal

***

Below is crystalline CdIr15 at its relaxed geometry, with properties calculated at the PBE-GGA level.

Cell and atoms, written as POSCAR:
```
CdIr15
1.0
7.729 0.000 0.000
0.000 2.734 0.000
-0.006 0.000 35.721
Cd Ir
2 30
Cartesian
0.962 0.684 7.345 Cd
6.761 2.051 28.376 Cd
0.957 0.684 24.025 Ir
0.966 0.684 10.307 Ir
0.965 0.684 13.063 Ir
0.961 0.684 15.789 Ir
0.963 0.684 18.545 Ir
0.970 0.684 21.291 Ir
1.002 0.684 26.772 Ir
2.890 2.051 11.697 Ir
2.895 2.051 17.166 Ir
2.893 2.051 19.909 Ir
2.895 2.051 22.666 Ir
2.897 2.051 25.345 Ir
2.890 2.051 28.019 Ir
2.903 2.051 14.437 Ir
2.939 2.051 8.942 Ir
4.784 0.684 26.779 Ir
4.820 0.684 21.284 Ir
4.833 0.684 7.702 Ir
4.826 0.684 10.376 Ir
4.828 0.684 13.055 Ir
4.831 0.684 15.812 Ir
4.828 0.684 18.555 Ir
4.834 0.684 24.024 Ir
6.721 2.051 8.949 Ir
6.753 2.051 14.430 Ir
6.760 2.051 17.176 Ir
6.762 2.051 19.931 Ir
6.758 2.051 22.657 Ir
6.757 2.051 25.413 Ir
6.766 2.051 11.695 Ir
```

Summary:
Polymorph energy (0 for the lowest one) in eV/f.u.: 0.85
ρ in g/cm³: 13.2
Crystal system: monoclinic

***

For the records above, the corresponding formation energy from the elements values read 0.1631; 0.1086; 0.1783; 0.1592; 0.0675; 0.1616 eV per atom.